A plane-wave DFT calculation with GGA-PBE was carried out for a geometry-optimized ScAlHg structure.

```
ScAlHg
1.0
3.3457 0.0000 0.0000
-1.6729 2.8975 0.0000
0.0000 0.0000 6.7162
Hg Al Sc
1 1 1
Direct
0.6667 0.3333 0.3274
0.0000 0.0000 0.0023
0.3333 0.6667 0.6703
```

Computed properties:
Crystal system: trigonal
Calculated formation energy: -0.0928 eV/atom
Space group: No. 156
Size of the total moment: 0.00 μB/f.u.


A plane-wave DFT calculation with GGA-PBE was carried out for a geometry-optimized Sc4AlHg structure.

```
Sc4AlHg
1.0
-4.2258 0.3255 -2.1297
-3.9788 -0.3837 2.5539
-2.7266 7.7185 1.3076
Sc Hg Al
4 1 1
Direct
0.8746 0.8744 0.3765
0.1254 0.1256 0.6235
0.6233 0.6233 0.1301
0.3767 0.3767 0.8699
0.0000 0.0000 0.0000
0.5000 0.5000 0.5000
```

Computed properties:
Crystal system: trigonal
Calculated formation energy: -0.0411 eV/atom
Space group: No. 166
Size of the total moment: 0.00 μB/f.u.


A plane-wave DFT calculation with GGA-PBE was carried out for a geometry-optimized ScAlHg2 structure.

```
ScAlHg2
1.0
-3.8459 -0.1617 3.0601
-3.3151 -3.6091 -0.4061
-0.2569 -3.5014 3.4432
Hg Sc Al
2 1 1
Direct
0.2500 0.2500 0.2500
0.0000 0.0000 0.0000
0.7500 0.7500 0.7500
0.5000 0.5000 0.5000
```

Computed properties:
Crystal system: cubic
Calculated formation energy: -0.0755 eV/atom
Space group: No. 216
Size of the total moment: 0.00 μB/f.u.


Among the records above, which one has the highest calculated formation energy?
Sc4AlHg


size of the total moment of number 3 (ScAlHg2)?
0.00 μB/f.u.